(1)
Here is a relaxed TlGePt2 crystal from Alexandria via LeMat-Bulk. Energies are from PBE-GGA.

Lattice parameters (Å, degrees): 3.7532 3.7532 6.8957 74.21 74.21 60.00
Last column: nearest neighbours and their distance in Å.
Fractional coordinates of all 4 atoms:
Pt: 0.2670 0.2670 0.1989  3 Ge 2.54
Pt: 0.0664 0.0664 0.8009  3 Ge 2.51
Tl: 0.4985 0.4985 0.5045  6 Pt 2.91-2.95
Ge: 0.6681 0.6681 0.9957  6 Pt 2.51-2.54

Results
symmetry: R3m (160)

=====

(2)
Here is a relaxed TlGe2Pt2 crystal from Alexandria via LeMat-Bulk. Energies are from PBE-GGA.

Lattice parameters (Å, degrees): 4.3513 4.3513 6.2764 69.72 69.72 90.00
Last column: nearest neighbours and their distance in Å.
Fractional coordinates of all 5 atoms:
Ge: 0.7500 0.2500 0.5000  4 Pt 2.54
Ge: 0.2500 0.7500 0.5000  4 Pt 2.54
Pt: 0.3692 0.3692 0.2616  4 Ge 2.54
Pt: 0.6308 0.6308 0.7384  4 Ge 2.54
Tl: 0.0000 0.0000 0.0000  8 Pt 3.39, 8 Ge 3.49

Results
symmetry: I4/mmm (139)
distance to the lowest polymorph of the same formula: 41.9 meV per atom

=====

(3)
Here is a relaxed TlGe2Pt2 crystal from Alexandria via LeMat-Bulk. Energies are from PBE-GGA.

Lattice parameters (Å, degrees): 8.1360 8.1360 2.8567 90.00 90.00 90.00
Last column: nearest neighbours and their distance in Å.
Fractional coordinates of all 10 atoms:
Pt: 0.3428 0.1572 0.5000  6 Ge 2.75-2.84, 2 Pt 2.86
Pt: 0.1572 0.6572 0.5000  6 Ge 2.75-2.84, 2 Pt 2.86
Pt: 0.8428 0.3428 0.5000  6 Ge 2.75-2.84, 2 Pt 2.86
Pt: 0.6572 0.8428 0.5000  6 Ge 2.75-2.84, 2 Pt 2.86
Tl: 0.5000 0.5000 0.0000  2 Tl 2.86, 4 Ge 3.19
Tl: 0.0000 0.0000 0.0000  2 Tl 2.86, 4 Ge 3.19
Ge: 0.8702 0.6298 0.0000  6 Pt 2.75-2.84, 3 Ge 2.86-2.99
Ge: 0.6298 0.1298 0.0000  6 Pt 2.75-2.84, 3 Ge 2.86-2.99
Ge: 0.1298 0.3702 0.0000  6 Pt 2.75-2.84, 3 Ge 2.86-2.99
Ge: 0.3702 0.8702 0.0000  6 Pt 2.75-2.84, 3 Ge 2.86-2.99

Results
symmetry: P4/mbm (127)
distance to the lowest polymorph of the same formula: 181.5 meV per atom

=====

(4)
Here is a relaxed TlGe3Pt9 crystal from Alexandria via LeMat-Bulk. Energies are from PBE-GGA.

Lattice parameters (Å, degrees): 4.9809 8.6077 8.8839 121.07 90.00 61.28
Last column: nearest neighbours and their distance in Å.
Fractional coordinates of all 13 atoms:
Pt: 0.6188 0.1325 0.8071  2 Ge 2.43-2.56, 1 Pt 2.66
Pt: 0.3601 0.3801 0.1900  2 Ge 2.63, 4 Pt 2.67-2.77, 1 Tl 2.83
Pt: 0.3812 0.8675 0.1929  2 Ge 2.43-2.56, 1 Pt 2.66
Pt: 0.6399 0.6199 0.8100  2 Ge 2.63, 4 Pt 2.67-2.77, 1 Tl 2.83
Pt: 0.0000 0.5000 0.5000  2 Ge 2.49, 4 Pt 2.67-2.73
Pt: 0.0000 0.0000 0.5000  2 Ge 2.49, 4 Pt 2.66
Pt: 0.0000 0.5000 0.0000  2 Ge 2.49, 4 Pt 2.67-2.73
Pt: 0.3812 0.8675 0.6746  2 Ge 2.43-2.56, 1 Pt 2.66
Pt: 0.6188 0.1325 0.3254  2 Ge 2.43-2.56, 1 Pt 2.66
Ge: 0.5000 0.5000 0.5000  6 Pt 2.43-2.63
Ge: 0.5000 0.0000 0.5000  6 Pt 2.49-2.56
Ge: 0.5000 0.5000 0.0000  6 Pt 2.43-2.63
Tl: 0.0000 0.0000 0.0000  6 Pt 2.79-2.83

Results
symmetry: C2/m (12)

=====

(5)
Here is a relaxed TlGePt2 crystal from Alexandria via LeMat-Bulk. Energies are from PBE-GGA.

Lattice parameters (Å, degrees): 6.1819 6.1819 6.9523 63.60 63.60 90.00
Last column: nearest neighbours and their distance in Å.
Fractional coordinates of all 8 atoms:
Tl: 0.0000 0.0000 0.0000  4 Pt 2.76
Tl: 0.7500 0.2500 0.5000  4 Pt 2.76
Pt: 0.1727 0.6250 0.2500  2 Ge 2.40
Pt: 0.8750 0.8273 0.7500  2 Ge 2.40
Pt: 0.5773 0.1250 0.2500  2 Ge 2.40
Pt: 0.3750 0.4227 0.7500  2 Ge 2.40
Ge: 0.5000 0.5000 0.0000  4 Pt 2.40
Ge: 0.2500 0.7500 0.5000  4 Pt 2.40

Results
symmetry: I-42d (122)

=====

(6)
Here is a relaxed Tl2GePt crystal from Alexandria via LeMat-Bulk. Energies are from PBE-GGA.

Lattice parameters (Å, degrees): 6.0881 6.0881 8.0077 67.66 67.66 90.00
Last column: nearest neighbours and their distance in Å.
Fractional coordinates of all 8 atoms:
Ge: 0.2500 0.7500 0.5000  4 Tl 2.75
Ge: 0.5000 0.5000 0.0000  4 Tl 2.75
Tl: 0.1209 0.6250 0.2500  2 Pt 2.72, 2 Ge 2.75
Tl: 0.8750 0.8791 0.7500  2 Pt 2.72, 2 Ge 2.75
Tl: 0.6291 0.1250 0.2500  2 Pt 2.72, 2 Ge 2.75
Tl: 0.3750 0.3709 0.7500  2 Pt 2.72, 2 Ge 2.75
Pt: 0.0000 0.0000 0.0000  4 Tl 2.72
Pt: 0.7500 0.2500 0.5000  4 Tl 2.72

Results
symmetry: I-42d (122)

=====

no.,total DFT energy (no corrections) (eV/atom)
1,-4.89
2,-4.94
3,-4.80
4,-5.40
5,-4.74
6,-3.39